Record 1
Computed, not measured: La12Ag2Ru5 after structural relaxation at the GGA-PBE level of DFT.

a = 7.3216 Å, b = 7.5320 Å, c = 11.6329 Å
α = 71.11°, β = 68.86°, γ = 90.00°
Positions (direct):
La  0.8562  0.1088  0.7824
La  0.2279  0.9706  0.5350
La  0.2279  0.4944  0.5350
La  0.4306  0.8454  0.8122
La  0.4306  0.3424  0.8122
La  0.1461  0.4348  0.1303
La  0.8539  0.5652  0.8697
La  0.5694  0.1546  0.1878
La  0.5694  0.6576  0.1878
La  0.7721  0.0294  0.4650
La  0.7721  0.5056  0.4650
La  0.1438  0.8912  0.2176
Ag  0.0000  0.1821  0.0000
Ag  0.0000  0.8179  0.0000
Ru  0.5320  0.8128  0.3744
Ru  0.8488  0.6749  0.6503
Ru  0.5000  0.0000  0.0000
Ru  0.1512  0.3251  0.3497
Ru  0.4680  0.1872  0.6256

Output
V in A^3/atom: 29.53
DFT total energy in eV/atom: -6.047
Calculated formation energy in eV per atom: -0.194
SG: C2/m

Record 2
Computed, not measured: La2AgRu after structural relaxation at the GGA-PBE level of DFT.

a = 3.5192 Å, b = 3.6080 Å, c = 8.7215 Å
α = 65.54°, β = 90.00°, γ = 90.00°
Positions (direct):
Ru  0.5000  0.2500  0.2500
Ag  0.5000  0.7500  0.7500
La  0.0000  0.9694  0.0291
La  0.0000  0.5306  0.4709

Output
V in A^3/atom: 25.20
DFT total energy in eV/atom: -5.754
Calculated formation energy in eV per atom: -0.259
SG: P2/m

Record 3
Computed, not measured: La3AgRu after structural relaxation at the GGA-PBE level of DFT.

a = 5.4893 Å, b = 5.4893 Å, c = 5.4893 Å
α = 90.00°, β = 90.00°, γ = 90.00°
Positions (direct):
Ru  0.0000  0.0000  0.0000
Ag  0.5000  0.5000  0.5000
La  0.0000  0.5000  0.0000
La  0.0000  0.0000  0.5000
La  0.5000  0.0000  0.0000

Output
V in A^3/atom: 33.08
DFT total energy in eV/atom: -5.518
Calculated formation energy in eV per atom: -0.136
SG: Pm-3m

Record 4
Computed, not measured: LaAgRu3 after structural relaxation at the GGA-PBE level of DFT.

a = 4.8678 Å, b = 4.8678 Å, c = 4.8678 Å
α = 90.00°, β = 90.00°, γ = 90.00°
Positions (direct):
Ru  0.0000  0.5000  0.0000
Ru  0.0000  0.0000  0.5000
Ru  0.5000  0.0000  0.0000
Ag  0.0000  0.0000  0.0000
La  0.5000  0.5000  0.5000

Output
V in A^3/atom: 23.07
DFT total energy in eV/atom: -5.681
Calculated formation energy in eV per atom: 1.440
SG: Pm-3m

Record 5
Computed, not measured: LaAgRu after structural relaxation at the GGA-PBE level of DFT.

a = 5.6133 Å, b = 5.6133 Å, c = 5.6133 Å
α = 142.60°, β = 142.62°, γ = 53.91°
Positions (direct):
Ag  0.0195  0.0195  0.0000
La  0.3198  0.3198  0.0000
Ru  0.6608  0.6608  0.0000

Output
V in A^3/atom: 21.60
DFT total energy in eV/atom: -5.557
Calculated formation energy in eV per atom: 0.128
SG: I4mm

Record 6
Computed, not measured: La6Ag5Ru after structural relaxation at the GGA-PBE level of DFT.

a = 5.3131 Å, b = 7.6080 Å, c = 8.4391 Å
α = 90.00°, β = 108.59°, γ = 90.00°
Positions (direct):
Ru  0.0000  0.0000  0.0000
Ag  0.6741  0.5000  0.3426
Ag  0.3149  0.0000  0.6355
Ag  0.0000  0.5000  0.0000
Ag  0.6851  0.0000  0.3645
Ag  0.3259  0.5000  0.6574
La  0.8440  0.7598  0.6921
La  0.8440  0.2402  0.6921
La  0.5000  0.2292  0.0000
La  0.5000  0.7708  0.0000
La  0.1560  0.7598  0.3079
La  0.1560  0.2402  0.3079

Output
V in A^3/atom: 26.94
DFT total energy in eV/atom: -4.688
Calculated formation energy in eV per atom: -0.263
SG: P2/m